InC, optimized geometry, DFT PBE; V = 18.7 A^3/atom; space-group type = No. 12; E above lowest polymorph = 13.82 kJ per mole of atoms
1.0
-2.213 -4.697 -2.787
3.417 0.179 -3.014
3.903 -1.532 4.334
In C
4 4
Cartesian
2.145 -2.499 2.284
-0.455 -3.730 -0.737
1.902 -1.644 -1.390
3.205 -4.407 -0.077
3.178 -0.702 1.085
4.141 -0.651 0.236
2.935 0.154 -2.589
0.481 0.025 -0.425